The following is a DFT calculation (PBE) of a relaxed structure of LiBiCl5.

Cell lengths 6.8700, 6.8700, 9.0096 Å; angles 101.17, 101.17, 79.69 degrees
Closest atoms and distances in Å follow each position.
Positions (direct):
Li: 0.0000 0.0000 0.0000  2 Cl 2.35
Li: 0.0000 0.0000 0.5000  2 Cl 2.35
Bi: 0.4792 0.5208 0.7500  4 Cl 2.62-2.64
Bi: 0.5208 0.4792 0.2500  4 Cl 2.62-2.64
Cl: 0.0762 0.9238 0.7500  2 Li 2.35
Cl: 0.2349 0.2502 0.7002  1 Bi 2.64, 1 Li 2.73, 1 Cl 2.81
Cl: 0.2502 0.2349 0.2002  1 Bi 2.64, 1 Li 2.73, 1 Cl 2.81
Cl: 0.2972 0.6767 0.0413  1 Bi 2.62, 1 Li 2.76
Cl: 0.3233 0.7028 0.4587  1 Bi 2.62, 1 Li 2.76
Cl: 0.6767 0.2972 0.5413  1 Bi 2.62, 1 Li 2.76
Cl: 0.7028 0.3233 0.9587  1 Bi 2.62, 1 Li 2.76
Cl: 0.7498 0.7651 0.7998  1 Bi 2.64, 1 Li 2.73, 1 Cl 2.81
Cl: 0.7651 0.7498 0.2998  1 Bi 2.64, 1 Li 2.73, 1 Cl 2.81
Cl: 0.9238 0.0762 0.2500  2 Li 2.35

Computed properties:
**Energy**: -3.076 eV per atom
**N(E_F)**: 5.57 states/eV/cell
**Size of the total moment**: 0.000 μB/atom